(i)
Here is a geometry-optimized HfZn3Au structure from Alexandria. Energies are from PBE.

* theoretical density: 11.03 g/cm³
* crystal system: orthorhombic

a b c (Å): 3.1427 8.9923 12.1782
angles (deg): 90.00 90.00 90.00
Fractional coordinates of all 20 atoms:
Au1 0.2500 0.1261 0.6370
Au2 0.7500 0.8739 0.3630
Au3 0.2500 0.6261 0.8630
Au4 0.7500 0.3739 0.1370
Zn1 0.2500 0.6092 0.0816
Zn2 0.7500 0.6204 0.6756
Zn3 0.2500 0.3859 0.7333
Zn4 0.2500 0.3796 0.3244
Zn5 0.7500 0.1204 0.8244
Zn6 0.7500 0.8908 0.5816
Zn7 0.2500 0.8859 0.7667
Zn8 0.7500 0.1141 0.2333
Zn9 0.7500 0.3908 0.9184
Zn10 0.2500 0.8796 0.1756
Zn11 0.2500 0.1092 0.4184
Zn12 0.7500 0.6141 0.2667
Hf1 0.7500 0.8568 0.9771
Hf2 0.2500 0.6432 0.4771
Hf3 0.2500 0.1432 0.0229
Hf4 0.7500 0.3568 0.5229


(ii)
Here is a geometry-optimized HfZn3Au structure from Alexandria. Energies are from PBE.

* theoretical density: 8.90 g/cm³
* crystal system: cubic

a b c (Å): 4.7427 4.7427 4.7427
angles (deg): 90.00 90.00 90.00
Fractional coordinates of all 5 atoms:
Au1 0.0000 0.0000 0.0000
Zn1 0.5000 0.0000 0.0000
Zn2 0.0000 0.5000 0.0000
Zn3 0.0000 0.0000 0.5000
Hf1 0.5000 0.5000 0.5000


What should be chosen as the least stable of them? Choose (ii).


(i)
Here is a geometry-optimized HfZn3Au structure from Alexandria. Energies are from PBE.

* theoretical density: 11.29 g/cm³
* crystal system: orthorhombic

a b c (Å): 4.4030 6.1663 6.1943
angles (deg): 90.00 90.00 90.00
Fractional coordinates of all 10 atoms:
Zn1 0.5000 0.5000 0.0566
Zn2 0.0000 0.6970 0.2297
Zn3 0.0000 0.3030 0.2297
Zn4 0.5000 0.8030 0.7703
Zn5 0.5000 0.1970 0.7703
Zn6 0.0000 0.0000 0.9434
Hf1 0.0000 0.5000 0.7579
Hf2 0.5000 0.0000 0.2421
Au1 0.5000 0.5000 0.4653
Au2 0.0000 0.0000 0.5347


(ii)
Here is a geometry-optimized HfZn3Au structure from Alexandria. Energies are from PBE.

* theoretical density: 6.77 g/cm³
* crystal system: cubic

a b c (Å): 5.1958 5.1958 5.1958
angles (deg): 90.00 90.00 90.00
Fractional coordinates of all 5 atoms:
Zn1 0.0000 0.0000 0.5000
Zn2 0.5000 0.0000 0.0000
Zn3 0.0000 0.5000 0.0000
Hf1 0.0000 0.0000 0.0000
Au1 0.5000 0.5000 0.5000


What should be chosen as the least stable of them? Choose (ii).


(i)
Here is a geometry-optimized HfZnAu4 structure from Alexandria. Energies are from PBE.

* theoretical density: 15.90 g/cm³
* crystal system: monoclinic

a b c (Å): 3.6336 5.0257 7.0515
angles (deg): 103.95 75.07 68.81
Fractional coordinates of all 6 atoms:
Au1 0.8151 0.5317 0.8381
Au2 0.3397 0.9911 0.3294
Au3 0.1849 0.4683 0.1619
Au4 0.6603 0.0089 0.6706
Hf1 0.5000 0.5000 0.5000
Zn1 0.0000 0.0000 0.0000


(ii)
Here is a geometry-optimized HfZnAu4 structure from Alexandria. Energies are from PBE.

* theoretical density: 13.67 g/cm³
* crystal system: tetragonal

a b c (Å): 6.5152 6.5152 7.4892
angles (deg): 115.78 115.78 90.00
Fractional coordinates of all 12 atoms:
Au1 0.3750 0.8613 0.2500
Au2 0.6113 0.6250 0.7500
Au3 0.6113 0.1250 0.7500
Au4 0.8750 0.3887 0.2500
Au5 0.1387 0.1250 0.7500
Au6 0.1387 0.6250 0.7500
Au7 0.3750 0.3887 0.2500
Au8 0.8750 0.8613 0.2500
Hf1 0.7500 0.2500 0.5000
Hf2 0.0000 0.0000 0.0000
Zn1 0.2500 0.7500 0.5000
Zn2 0.5000 0.5000 0.0000


What should be chosen as the least stable of them? Choose (ii).


(i)
Here is a geometry-optimized Hf2ZrAu structure from Alexandria. Energies are from PBE.

* theoretical density: 12.67 g/cm³
* crystal system: tetragonal

a b c (Å): 3.2333 3.2333 8.0873
angles (deg): 90.00 90.00 90.00
Fractional coordinates of all 4 atoms:
Hf1 0.0000 0.0000 0.7640
Hf2 0.0000 0.0000 0.2360
Au1 0.5000 0.5000 0.0000
Zr1 0.5000 0.5000 0.5000


(ii)
Here is a geometry-optimized Hf2ZrAu structure from Alexandria. Energies are from PBE.

* theoretical density: 12.28 g/cm³
* crystal system: trigonal

a b c (Å): 3.2531 3.2531 9.7035
angles (deg): 80.35 80.35 60.00
Fractional coordinates of all 4 atoms:
Zr1 0.4996 0.4996 0.5013
Au1 0.6671 0.6671 0.9986
Hf1 0.2545 0.2545 0.2366
Hf2 0.0788 0.0788 0.7635


What should be chosen as the least stable of them? Choose (ii).


(i)
Here is a geometry-optimized Hf2ZrAu structure from Alexandria. Energies are from PBE.

* theoretical density: 12.48 g/cm³
* crystal system: orthorhombic

a b c (Å): 3.0238 5.1182 11.1947
angles (deg): 90.00 97.76 90.00
Fractional coordinates of all 8 atoms:
Zr1 0.4607 0.2500 0.9214
Zr2 0.5393 0.7500 0.0786
Hf1 0.8454 0.2500 0.6908
Hf2 0.7742 0.7500 0.5483
Hf3 0.1546 0.7500 0.3092
Hf4 0.2258 0.2500 0.4517
Au1 0.9169 0.7500 0.8338
Au2 0.0831 0.2500 0.1662


(ii)
Here is a geometry-optimized Hf2ZrAu structure from Alexandria. Energies are from PBE.

* theoretical density: 12.06 g/cm³
* crystal system: tetragonal

a b c (Å): 4.1499 4.1499 10.7253
angles (deg): 78.84 78.84 90.00
Fractional coordinates of all 8 atoms:
Hf1 0.3750 0.3730 0.7500
Hf2 0.6270 0.1250 0.2500
Hf3 0.1230 0.6250 0.2500
Hf4 0.8750 0.8770 0.7500
Zr1 0.2500 0.7500 0.5000
Zr2 0.5000 0.5000 0.0000
Au1 0.0000 0.0000 0.0000
Au2 0.7500 0.2500 0.5000


What should be chosen as the least stable of them? Choose (ii).


(i)
Here is a geometry-optimized HfZr2Au2 structure from Alexandria. Energies are from PBE.

* theoretical density: 11.14 g/cm³
* crystal system: tetragonal

a b c (Å): 3.8475 3.8475 8.0733
angles (deg): 76.21 76.21 90.00
Fractional coordinates of all 5 atoms:
Zr1 0.6010 0.6010 0.7979
Zr2 0.3990 0.3990 0.2021
Au1 0.2500 0.7500 0.5000
Au2 0.7500 0.2500 0.5000
Hf1 0.0000 0.0000 0.0000


(ii)
Here is a geometry-optimized HfZr2Au2 structure from Alexandria. Energies are from PBE.

* theoretical density: 11.91 g/cm³
* crystal system: orthorhombic

a b c (Å): 3.2418 4.5763 7.4517
angles (deg): 72.12 90.00 90.00
Fractional coordinates of all 5 atoms:
Zr1 0.5000 0.3855 0.2291
Zr2 0.5000 0.6145 0.7709
Au1 0.0000 0.1922 0.6155
Au2 0.0000 0.8078 0.3845
Hf1 0.0000 0.0000 0.0000


What should be chosen as the least stable of them? Choose (i).